The following is a DFT calculation (GGA+U) of NaPrCr2O8 after structural relaxation.

Calculated values
Calculated total energy in eV/cell: -83.075
Space group: No. 119
Calculated volume in Å³/atom: 14.774

POSCAR file:
```
NaPrCr2O8
1.0
6.158 -0.048 0.000
-2.774 5.498 0.000
-1.692 -2.725 5.257
O Cr Na Pr
8 2 1 1
Cartesian
4.411 0.374 1.708
-0.290 1.336 4.306
3.313 -1.394 3.550
3.018 3.058 0.951
0.366 2.392 0.951
2.846 1.346 3.550
0.290 -1.336 4.306
1.748 -0.422 1.708
1.692 2.725 0.000
3.079 -0.024 2.629
0.000 0.000 0.000
-1.387 2.749 2.629
```